3
Lattice="4.580 0.000 0.000 2.290 3.967 0.000 2.290 1.322 3.740" Properties=species:S:1:pos:R:3 comment="SCAN LiPbAu, PBEsol geometry" dos_ef_per_ev_fu=1.20 formation_enthalpy_0k_kj_per_mol_atoms=-37 space_group=F-43m density_g_cm3=10.047 energy_ev_per_cell=-148.48 pbc="T T T"
Pb 4.580 2.644 1.870
Au 2.290 1.322 0.935
Li 0.000 0.000 0.000



4
Lattice="-1.834 -1.390 -3.014 -3.719 -1.285 2.855 -2.067 4.337 -0.743" Properties=species:S:1:pos:R:3 comment="SCAN LiPb2Au, PBEsol geometry" dos_ef_per_ev_fu=1.76 formation_enthalpy_0k_kj_per_mol_atoms=-19 space_group=P4/mmm density_g_cm3=11.458 energy_ev_per_cell=-223.88 de_polymorph_mev_per_atom=51 pbc="T T T"
Au -0.917 -0.695 -1.507
Li -3.810 0.831 -0.451
Pb -1.860 -0.642 1.427
Pb -1.034 2.168 -0.371



4
Lattice="-2.290 0.517 2.208 0.954 -2.628 1.605 4.362 3.803 3.633" Properties=species:S:1:pos:R:3 comment="SCAN Li2PbAu, PBEsol geometry" dos_ef_per_ev_fu=1.28 formation_enthalpy_0k_kj_per_mol_atoms=-47 space_group=P4/mmm density_g_cm3=9.778 energy_ev_per_cell=-151.68 pbc="T T T"
Pb -0.668 -1.055 1.907
Au 1.513 0.846 3.723
Li 3.084 2.689 2.568
Li 1.279 1.115 1.065